Record 1
This record from Alexandria via LeMat-Bulk describes crystalline PrSm8Er2 at its relaxed geometry. The functional is PBE-GGA.

Results
Energy above the most stable polymorph in this dataset: 0.000 eV per formula unit
Space-group type: C2/m (12)
Formation enthalpy at 0 K: 0.20 eV per formula unit

The structure in CIF format:
```
data_PrSm8Er2
_cell_length_a 5.110
_cell_length_b 8.084
_cell_length_c 9.552
_cell_angle_alpha 104.72
_cell_angle_beta 105.51
_cell_angle_gamma 90.00
_symmetry_space_group_name_H-M 'P 1'
_symmetry_Int_Tables_number 1
loop_
_symmetry_equiv_pos_as_xyz
'x,y,z'
loop_
_atom_site_label
_atom_site_type_symbol
_atom_site_fract_x
_atom_site_fract_y
_atom_site_fract_z
Sm1 Sm 0.592 0.457 0.185
Sm2 Sm 0.683 0.910 0.365
Pr1 Pr 0.500 0.000 0.000
Er1 Er 0.228 0.635 0.455
Sm3 Sm 0.317 0.090 0.635
Sm4 Sm 0.953 0.274 0.907
Sm5 Sm 0.047 0.726 0.093
Sm6 Sm 0.408 0.543 0.815
Er2 Er 0.772 0.365 0.545
Sm7 Sm 0.862 0.814 0.724
Sm8 Sm 0.138 0.186 0.276
```

---

Record 2
This record from Alexandria via LeMat-Bulk describes crystalline Pr12Sm5Er2 at its relaxed geometry. The functional is PBE-GGA.

Results
Energy above the most stable polymorph in this dataset: 0.000 eV per formula unit
Space-group type: C2/m (12)
Formation enthalpy at 0 K: 2.31 eV per formula unit

The structure in CIF format:
```
data_Pr12Sm5Er2
_cell_length_a 10.773
_cell_length_b 9.415
_cell_length_c 8.147
_cell_angle_alpha 86.93
_cell_angle_beta 90.00
_cell_angle_gamma 124.90
_symmetry_space_group_name_H-M 'P 1'
_symmetry_Int_Tables_number 1
loop_
_symmetry_equiv_pos_as_xyz
'x,y,z'
loop_
_atom_site_label
_atom_site_type_symbol
_atom_site_fract_x
_atom_site_fract_y
_atom_site_fract_z
Er1 Er 0.730 0.000 0.000
Pr1 Pr 0.129 0.258 0.898
Pr2 Pr 0.040 0.631 0.792
Sm1 Sm 0.242 0.484 0.518
Pr3 Pr 0.591 0.631 0.792
Pr4 Pr 0.446 0.893 0.711
Pr5 Pr 0.619 0.787 0.385
Pr6 Pr 0.554 0.107 0.289
Pr7 Pr 0.871 0.742 0.102
Pr8 Pr 0.960 0.369 0.208
Sm2 Sm 0.657 0.314 0.909
Pr9 Pr 0.381 0.213 0.615
Pr10 Pr 0.168 0.787 0.385
Pr11 Pr 0.832 0.213 0.615
Pr12 Pr 0.409 0.369 0.208
Er2 Er 0.270 0.000 0.000
Sm3 Sm 0.343 0.686 0.091
Sm4 Sm 0.000 0.000 0.500
Sm5 Sm 0.758 0.516 0.482
```

---

Q: Among the records above, which one has the lowest formation enthalpy at 0 K?
A: PrSm8Er2

---

Q: formation enthalpy at 0 K of number 2 (Pr12Sm5Er2)?
A: 2.31 eV per formula unit